Entry 1:
Material: Ti2Be2Bi
Method: DFT, GGA-PBEsol
State: optimized geometry

abc: 3.648 6.322 6.322
angles: 90.00 90.00 90.00
Positions (direct):
Be (0.000, 0.388, 0.888)
Be (0.000, 0.888, 0.612)
Be (0.000, 0.112, 0.388)
Ti (0.500, 0.169, 0.669)
Ti (0.500, 0.669, 0.831)
Bi (0.000, 0.000, 0.000)
Be (0.000, 0.612, 0.112)
Ti (0.500, 0.831, 0.331)
Ti (0.500, 0.331, 0.169)
Bi (0.000, 0.500, 0.500)


Entry 2:
Material: SrCd
Method: DFT, GGA-PBEsol
State: optimized geometry

abc: 3.858 5.679 6.419
angles: 109.49 107.49 90.00
Positions (direct):
Sr (0.601, 0.826, 0.202)
Cd (0.155, 0.371, 0.309)
Cd (0.845, 0.629, 0.691)
Sr (0.399, 0.174, 0.798)


Entry 3:
Material: La2OsPt
Method: DFT, GGA-PBEsol
State: optimized geometry

abc: 3.392 4.664 6.399
angles: 111.31 105.37 90.00
Positions (direct):
Pt (0.791, 0.291, 0.583)
Os (0.470, 0.470, 0.939)
La (0.018, 0.019, 0.037)
La (0.221, 0.720, 0.441)


Calculated formation energy for every record listed, in sequence, given in meV per atom: -38, -252, -260.